No. 1
Ca6Cd2Au: optimized geometry, PBE.

Cell lengths 9.1049, 9.1049, 9.1049 Å; angles 70.88, 69.68, 108.98 degrees
Fractional coordinates of all 18 atoms:
Ca 0.3325 0.6114 0.7210
Ca 0.0692 0.2592 0.1899
Ca 0.1708 0.7464 0.0827
Ca 0.9308 0.7408 0.8101
Ca 0.6675 0.3886 0.2790
Ca 0.8292 0.2536 0.9173
Ca 0.8292 0.7464 0.4244
Ca 0.4491 0.2592 0.8101
Ca 0.1708 0.2536 0.5756
Ca 0.5509 0.7408 0.1899
Ca 0.6675 0.9465 0.7210
Ca 0.3325 0.0535 0.2790
Cd 0.1347 0.6347 0.5000
Cd 0.8653 0.3653 0.5000
Cd 0.6455 0.0000 0.3545
Cd 0.3545 0.0000 0.6455
Au 0.0000 0.0000 0.0000
Au 0.5000 0.5000 0.0000

The calculation puts the total magnetization at 0.000 μB per formula unit. The value obtained for the total energy is -2.195 eV/atom.


No. 2
CaCdAu2: optimized geometry, PBE.

Cell lengths 3.9036, 4.7401, 4.7401 Å; angles 90.00, 90.00, 90.00 degrees
Fractional coordinates of all 4 atoms:
Ca 0.5000 0.5000 0.5000
Au 0.0000 0.0000 0.5000
Au 0.0000 0.5000 0.0000
Cd 0.5000 0.0000 0.0000

The calculation puts the total magnetization at 0.000 μB per formula unit. The value obtained for the total energy is -2.873 eV/atom.


No. 3
Ca3CdAu3: optimized geometry, PBE.

Cell lengths 4.2854, 6.2258, 14.5377 Å; angles 83.28, 81.52, 69.87 degrees
Fractional coordinates of all 14 atoms:
Ca 0.6111 0.7023 0.0754
Ca 0.7324 0.7587 0.7765
Ca 0.4916 0.6404 0.3764
Ca 0.5084 0.3596 0.6236
Ca 0.2676 0.2413 0.2235
Ca 0.3889 0.2977 0.9246
Au 0.1237 0.3001 0.4526
Au 0.0095 0.2079 0.7731
Au 0.8858 0.1530 0.0755
Au 0.1142 0.8470 0.9245
Au 0.8763 0.6999 0.5474
Au 0.9905 0.7921 0.2269
Cd 0.7796 0.0484 0.3923
Cd 0.2204 0.9516 0.6077

The calculation puts the total magnetization at 0.000 μB per formula unit. The value obtained for the total energy is -3.077 eV/atom.


No. 4
Ca5CdAu6: optimized geometry, PBE.

Cell lengths 5.1259, 8.8110, 8.8110 Å; angles 119.58, 107.04, 107.04 degrees
Fractional coordinates of all 12 atoms:
Ca 0.0000 0.3293 0.6707
Ca 0.0000 0.6707 0.3293
Ca 0.5000 0.8431 0.1569
Ca 0.5000 0.1569 0.8431
Ca 0.5000 0.5000 0.5000
Au 0.7476 0.5776 0.9140
Au 0.7637 0.2655 0.2655
Au 0.2524 0.4224 0.0860
Au 0.2363 0.7345 0.7345
Au 0.7476 0.9140 0.5776
Au 0.2524 0.0860 0.4224
Cd 0.0000 0.0000 0.0000

The calculation puts the total magnetization at 0.000 μB per formula unit. The value obtained for the total energy is -3.261 eV/atom.


No. 5
CaCd2Au: optimized geometry, PBE.

Cell lengths 5.0979, 5.0979, 4.9786 Å; angles 60.79, 60.79, 58.45 degrees
Fractional coordinates of all 4 atoms:
Ca 0.2499 0.2499 0.2502
Cd 0.7500 0.7500 0.7498
Cd 0.0000 0.0000 0.9998
Au 0.4999 0.4999 0.5002

The calculation puts the total magnetization at 0.000 μB per formula unit. The value obtained for the total energy is -2.189 eV/atom.


No. 6
CaCd6Au6: optimized geometry, PBE.

Cell lengths 5.6534, 7.5108, 7.5108 Å; angles 81.14, 67.89, 67.89 degrees
Fractional coordinates of all 13 atoms:
Au 0.5000 0.2147 0.7853
Au 0.5000 0.5000 0.0000
Au 0.5000 0.7853 0.2147
Au 0.5000 0.0000 0.5000
Au 0.0000 0.0000 0.5000
Au 0.0000 0.5000 0.0000
Cd 0.0000 0.3462 0.6538
Cd 0.0000 0.6538 0.3462
Cd 0.2998 0.2002 0.2002
Cd 0.7002 0.7998 0.7998
Cd 0.3495 0.6505 0.6505
Cd 0.6505 0.3495 0.3495
Ca 0.0000 0.0000 0.0000

The calculation puts the total magnetization at 0.000 μB per formula unit. The value obtained for the total energy is -2.348 eV/atom.